No. 1
A relaxed structure of NiAs, computed with PBE.

Unit cell a=8.4919 b=8.4919 c=3.9130 alpha=90.00 beta=90.00 gamma=120.00
Last column: nearest neighbours and their distance in Å.
Space group P6_3/m (No. 176)
Unique sites:
Ni (0.0597, 0.4364, 0.2500) (multiplicity 6)  4 As 2.30-2.31
As (0.0751, 0.7146, 0.2500) (multiplicity 6)  4 Ni 2.30-2.31

Calculated values
- Formation energy from the elements: -0.06 eV/f.u.
- Crystal system: hexagonal
- Final energy: -0.3856 Ry per atom

No. 2
A relaxed structure of SnPbAuSe3, computed with PBE.

Unit cell a=8.5929 b=4.1647 c=9.4805 alpha=90.00 beta=102.74 gamma=90.00
Last column: nearest neighbours and their distance in Å.
Space group P2_1/m (No. 11)
Unique sites:
Sn (0.1575, 0.2500, 0.1482) (multiplicity 2)  6 Se 2.92-2.97
Pb (0.3313, 0.7500, 0.8185) (multiplicity 2)  5 Se 2.93-3.11
Au (0.3952, 0.7500, 0.4828) (multiplicity 2)  2 Se 2.51, 2 Au 2.73
Se (0.0726, 0.2500, 0.8275) (multiplicity 2)  3 Sn 2.92-2.97, 2 Pb 3.06
Se (0.2280, 0.2500, 0.4658) (multiplicity 2)  2 Au 2.51
Se (0.3938, 0.7500, 0.1350) (multiplicity 2)  3 Pb 2.93-3.11, 2 Sn 2.93

Calculated values
- Crystal system: monoclinic
- Final energy: -0.2851 Ry per atom
- Formation energy from raw total energies: -0.305 eV per atom

No. 3
A relaxed structure of Cd3Ag4Hg2, computed with PBE.

Unit cell a=9.5210 b=4.3416 c=9.1036 alpha=90.00 beta=107.11 gamma=90.00
Last column: nearest neighbours and their distance in Å.
Space group C2/m (No. 12)
Unique sites:
Cd (0.0000, 0.0000, 0.0000) (multiplicity 2)  8 Ag 3.02-3.05, 4 Hg 3.07
Cd (0.1633, 0.5000, 0.5592) (multiplicity 4)  3 Cd 2.98-3.11, 6 Ag 3.00-3.06, 3 Hg 3.07-3.11
Ag (0.0021, 0.0000, 0.3349) (multiplicity 4)  6 Cd 3.00-3.06, 3 Ag 3.02-3.08, 3 Hg 3.03-3.05
Ag (0.1651, 0.5000, 0.8896) (multiplicity 4)  4 Hg 2.99-3.04, 4 Cd 3.00-3.05, 4 Ag 3.07-3.08
Hg (0.1693, 0.5000, 0.2196) (multiplicity 4)  7 Ag 2.99-3.05, 5 Cd 3.07-3.11

Calculated values
- Formation energy from the elements: 0.06 eV/f.u.
- Crystal system: monoclinic
- Energy above the most stable polymorph in this dataset: 0.002 eV/atom
- Final energy: -0.1200 Ry per atom

No. 4
A relaxed structure of BaPbN2F, computed with PBE.

Unit cell a=4.7333 b=4.7333 c=4.8866 alpha=90.00 beta=90.00 gamma=90.00
Last column: nearest neighbours and their distance in Å.
Space group P4/mmm (No. 123)
Unique sites:
Ba (0.0000, 0.0000, 0.0000) (multiplicity 1)  4 N 2.37, 2 F 2.44
Pb (0.5000, 0.5000, 0.5000) (multiplicity 1)  4 F 3.35, 8 N 3.40
N (0.0000, 0.5000, 0.0000) (multiplicity 2)  2 Ba 2.37
F (0.0000, 0.0000, 0.5000) (multiplicity 1)  2 Ba 2.44

Calculated values
- Crystal system: tetragonal
- Energy above the most stable polymorph in this dataset: 0.769 eV/atom
- Final energy: -0.3216 Ry per atom
- Formation energy from raw total energies: 0.455 eV per atom

No. 5
A relaxed structure of MnZnNiRh, computed with PBE.

Unit cell a=5.9428 b=5.9428 c=5.9428 alpha=90.00 beta=90.00 gamma=90.00
Last column: nearest neighbours and their distance in Å.
Space group F-43m (No. 216)
Unique sites:
Mn (0.0000, 0.0000, 0.0000) (multiplicity 4)  4 Ni 2.57, 4 Rh 2.57
Zn (0.0000, 0.0000, 0.5000) (multiplicity 4)  4 Ni 2.57, 4 Rh 2.57
Ni (0.2500, 0.2500, 0.7500) (multiplicity 4)  4 Mn 2.57, 4 Zn 2.57
Rh (0.2500, 0.2500, 0.2500) (multiplicity 4)  4 Mn 2.57, 4 Zn 2.57

Calculated values
- Formation energy from the elements: -0.93 eV/f.u.
- Crystal system: cubic
- Final energy: -0.4504 Ry per atom

No. 6
A relaxed structure of LaPmSm5, computed with PBE.

Unit cell a=8.0261 b=11.8179 c=6.3067 alpha=90.00 beta=90.00 gamma=90.00
Last column: nearest neighbours and their distance in Å.
Space group Imm2 (No. 44)
Unique sites:
La (0.0000, 0.0000, 0.0000) (multiplicity 2)  2 Sm 2.98
Pm (0.0000, 0.5000, 0.7332) (multiplicity 2)  3 Sm 2.95-3.07
Sm (0.0000, 0.2523, 0.0012) (multiplicity 4)  1 La 2.98
Sm (0.0000, 0.5000, 0.2657) (multiplicity 2)  1 Pm 2.95, 2 Sm 3.07
Sm (0.1799, 0.0000, 0.5004) (multiplicity 4)  2 Sm 2.89-3.07, 1 Pm 3.07

Calculated values
- Formation energy from the elements: 5.99 eV/f.u.
- Crystal system: orthorhombic
- Energy above the most stable polymorph in this dataset: 0.687 eV/atom
- Final energy: -0.2864 Ry per atom

No. 7
A relaxed structure of MoPbAu2, computed with PBE.

Unit cell a=6.7937 b=6.7937 c=6.7937 alpha=90.00 beta=90.00 gamma=90.00
Last column: nearest neighbours and their distance in Å.
Space group F-43m (No. 216)
Unique sites:
Mo (0.0000, 0.0000, 0.0000) (multiplicity 4)  4 Pb 2.94, 4 Au 2.94
Pb (0.2500, 0.2500, 0.2500) (multiplicity 4)  4 Au 2.94, 4 Mo 2.94
Au (0.0000, 0.0000, 0.5000) (multiplicity 4)  4 Pb 2.94, 4 Au 2.94
Au (0.2500, 0.2500, 0.7500) (multiplicity 4)  4 Mo 2.94, 4 Au 2.94

Calculated values
- Formation energy from the elements: 2.17 eV/f.u.
- Crystal system: cubic
- Final energy: -0.3477 Ry per atom

No. 8
A relaxed structure of TcNi2W, computed with PBE.

Unit cell a=2.6184 b=3.8311 c=5.2169 alpha=90.00 beta=90.00 gamma=90.00
Last column: nearest neighbours and their distance in Å.
Space group Pmmm (No. 47)
Unique sites:
Tc (0.0000, 0.0000, 0.0000) (multiplicity 1)  2 W 2.61, 2 Tc 2.62, 8 Ni 2.65
Ni (0.5000, 0.5000, 0.2456) (multiplicity 2)  4 Ni 2.56-2.65, 4 Tc 2.65, 4 W 2.67
W (0.0000, 0.0000, 0.5000) (multiplicity 1)  2 Tc 2.61, 2 W 2.62, 8 Ni 2.67

Calculated values
- Formation energy from the elements: 0.16 eV/f.u.
- Crystal system: orthorhombic
- Energy above the most stable polymorph in this dataset: 0.067 eV/atom
- Final energy: -0.6381 Ry per atom

no.,calculated density (g/cm³)
1,5.45
2,7.62
3,10.80
4,5.94
5,8.92
6,5.75
7,14.77
8,12.67